An optimized crystal structure of Zn2InBr. Source: Alexandria, functional PBE-GGA.

Computed properties:
- SG: P4mm, No. 99
- Uncorrected energy: -1.7950 eV/atom
- Density of states at the Fermi level: 0.201 states/eV per atom

abc: 3.5704 3.5704 7.4342
angles: 90.00 90.00 90.00
With the nearest neighbours (Å) after each atom.
Fractional positions:
Zn: 0.0000 0.0000 0.0000  4 Zn 2.84, 1 Br 2.94, 4 In 3.05
Zn: 0.5000 0.5000 0.1762  4 Zn 2.84, 4 Br 3.01, 1 In 3.03
In: 0.5000 0.5000 0.7690  5 Zn 3.03-3.05
Br: 0.0000 0.0000 0.3957  5 Zn 2.94-3.01

An optimized crystal structure of SrEr2Cd6. Source: Alexandria, functional PBE-GGA.

Computed properties:
- SG: P6/mmm, No. 191
- DFT formation energy: -282 meV per atom
- Uncorrected energy: -2.0930 eV/atom
- Density of states at the Fermi level: 0.865 states/eV per atom

abc: 8.7116 8.7116 3.4895
angles: 90.00 90.00 120.00
With the nearest neighbours (Å) after each atom.
Fractional positions:
Sr: 0.0000 0.0000 0.0000  12 Cd 3.42, 2 Sr 3.49
Er: 0.3333 0.6667 0.0000  12 Cd 3.37, 2 Er 3.49
Er: 0.6667 0.3333 0.0000  12 Cd 3.37, 2 Er 3.49
Cd: 0.0000 0.3383 0.5000  3 Cd 2.82-2.95
Cd: 0.0000 0.6617 0.5000  3 Cd 2.82-2.95
Cd: 0.3383 0.0000 0.5000  3 Cd 2.82-2.95
Cd: 0.3383 0.3383 0.5000  3 Cd 2.82-2.95
Cd: 0.6617 0.0000 0.5000  3 Cd 2.82-2.95
Cd: 0.6617 0.6617 0.5000  3 Cd 2.82-2.95

An optimized crystal structure of NaLiSi2. Source: Alexandria, functional PBE-GGA.

Computed properties:
- SG: Fm-3m, No. 225
- Uncorrected energy: -3.2131 eV/atom
- Density of states at the Fermi level: 0.013 states/eV per atom

abc: 6.5149 6.5149 6.5149
angles: 90.00 90.00 90.00
With the nearest neighbours (Å) after each atom.
Fractional positions:
Na: 0.0000 0.0000 0.0000  8 Si 2.82
Na: 0.0000 0.5000 0.5000  8 Si 2.82
Na: 0.5000 0.0000 0.5000  8 Si 2.82
Na: 0.5000 0.5000 0.0000  8 Si 2.82
Li: 0.0000 0.0000 0.5000  8 Si 2.82
Li: 0.0000 0.5000 0.0000  8 Si 2.82
Li: 0.5000 0.0000 0.0000  8 Si 2.82
Li: 0.5000 0.5000 0.5000  8 Si 2.82
Si: 0.2500 0.2500 0.2500  4 Na 2.82, 4 Li 2.82
Si: 0.2500 0.2500 0.7500  4 Na 2.82, 4 Li 2.82
Si: 0.2500 0.7500 0.2500  4 Na 2.82, 4 Li 2.82
Si: 0.2500 0.7500 0.7500  4 Na 2.82, 4 Li 2.82
Si: 0.7500 0.2500 0.2500  4 Na 2.82, 4 Li 2.82
Si: 0.7500 0.2500 0.7500  4 Na 2.82, 4 Li 2.82
Si: 0.7500 0.7500 0.2500  4 Na 2.82, 4 Li 2.82
Si: 0.7500 0.7500 0.7500  4 Li 2.82, 4 Na 2.82

An optimized crystal structure of TbTm2ScAs4. Source: Alexandria, functional PBE-GGA.

Computed properties:
- SG: P2/m, No. 10
- DFT formation energy: -1466 meV per atom
- Uncorrected energy: -6.2788 eV/atom
- Density of states at the Fermi level: 0.127 states/eV per atom

abc: 6.9942 4.0439 6.9987
angles: 90.00 109.47 90.00
With the nearest neighbours (Å) after each atom.
Fractional positions:
Tb: 0.0000 0.0000 0.0000  6 As 2.88
Tm: 0.0000 0.5000 0.5000  6 As 2.90
Tm: 0.5000 0.0000 0.5000  6 As 2.84
Sc: 0.5000 0.5000 0.0000  6 As 2.81-2.82
As: 0.2569 0.5000 0.2496  1 Sc 2.81, 3 Tm 2.84-2.90, 2 Tb 2.88
As: 0.2589 0.0000 0.7556  2 Sc 2.82, 3 Tm 2.84-2.90, 1 Tb 2.88
As: 0.7411 0.0000 0.2444  2 Sc 2.82, 3 Tm 2.84-2.90, 1 Tb 2.88
As: 0.7431 0.5000 0.7504  1 Sc 2.81, 3 Tm 2.84-2.90, 2 Tb 2.88

An optimized crystal structure of TaHg2. Source: Alexandria, functional PBE-GGA.

Computed properties:
- SG: Fd-3m, No. 227
- DFT formation energy: 781 meV per atom
- Uncorrected energy: -3.3706 eV/atom
- Density of states at the Fermi level: 0.291 states/eV per atom

abc: 5.5725 5.5725 5.5725
angles: 60.00 60.00 60.00
With the nearest neighbours (Å) after each atom.
Fractional positions:
Ta: 0.1250 0.1250 0.1250  12 Hg 3.27, 4 Ta 3.41
Ta: 0.8750 0.8750 0.8750  12 Hg 3.27, 4 Ta 3.41
Hg: 0.0000 0.5000 0.5000  6 Hg 2.79
Hg: 0.5000 0.0000 0.5000  6 Hg 2.79
Hg: 0.5000 0.5000 0.0000  6 Hg 2.79
Hg: 0.5000 0.5000 0.5000  6 Hg 2.79

An optimized crystal structure of CaIn2Te. Source: Alexandria, functional PBE-GGA.

Computed properties:
- SG: I-42d, No. 122
- Uncorrected energy: -3.0537 eV/atom
- Density of states at the Fermi level: 0.550 states/eV per atom

abc: 8.9344 8.9344 6.3124
angles: 90.00 90.00 90.00
With the nearest neighbours (Å) after each atom.
Fractional positions:
Ca: 0.0000 0.0000 0.0000  2 Te 3.16, 4 In 3.36
Ca: 0.0000 0.5000 0.2500  2 Te 3.16, 4 In 3.36
Ca: 0.5000 0.0000 0.7500  2 Te 3.16, 4 In 3.36
Ca: 0.5000 0.5000 0.5000  2 Te 3.16, 4 In 3.36
In: 0.2336 0.2500 0.6250  2 Te 3.16, 2 In 3.17, 2 Ca 3.36
In: 0.2500 0.7336 0.8750  2 Te 3.16, 2 In 3.17, 2 Ca 3.36
In: 0.2500 0.7664 0.3750  2 Te 3.16, 2 In 3.17, 2 Ca 3.36
In: 0.2664 0.2500 0.1250  2 Te 3.16, 2 In 3.17, 2 Ca 3.36
In: 0.7336 0.7500 0.1250  2 Te 3.16, 2 In 3.17, 2 Ca 3.36
In: 0.7500 0.2336 0.3750  2 Te 3.16, 2 In 3.17, 2 Ca 3.36
In: 0.7500 0.2664 0.8750  2 Te 3.16, 2 In 3.17, 2 Ca 3.36
In: 0.7664 0.7500 0.6250  2 Te 3.16, 2 In 3.17, 2 Ca 3.36
Te: 0.0000 0.0000 0.5000  2 Ca 3.16, 4 In 3.16
Te: 0.0000 0.5000 0.7500  2 Ca 3.16, 4 In 3.16
Te: 0.5000 0.0000 0.2500  2 Ca 3.16, 4 In 3.16
Te: 0.5000 0.5000 0.0000  2 Ca 3.16, 4 In 3.16

An optimized crystal structure of W4Br. Source: Alexandria, functional PBE-GGA.

Computed properties:
- SG: Pm-3m, No. 221
- Uncorrected energy: -8.3430 eV/atom
- Density of states at the Fermi level: 1.002 states/eV per atom

abc: 4.5406 4.5406 4.5406
angles: 90.00 90.00 90.00
With the nearest neighbours (Å) after each atom.
Fractional positions:
W: 0.0000 0.0000 0.0000  12 W 3.21
W: 0.0000 0.5000 0.5000  2 Br 2.27
W: 0.5000 0.0000 0.5000  2 Br 2.27
W: 0.5000 0.5000 0.0000  2 Br 2.27
Br: 0.5000 0.5000 0.5000  6 W 2.27

An optimized crystal structure of K2TcSe. Source: Alexandria, functional PBE-GGA.

Computed properties:
- SG: I-4m2, No. 119
- Uncorrected energy: -3.3441 eV/atom
- Density of states at the Fermi level: 1.071 states/eV per atom

abc: 4.8406 4.8406 9.9164
angles: 90.00 90.00 90.00
With the nearest neighbours (Å) after each atom.
Fractional positions:
K: 0.0000 0.0000 0.0000  4 Tc 3.42, 4 K 3.46, 4 Se 3.46
K: 0.0000 0.5000 0.2500  4 Se 3.42, 4 K 3.46, 4 Tc 3.46
K: 0.5000 0.0000 0.7500  4 Se 3.42, 4 Tc 3.46, 4 K 3.46
K: 0.5000 0.5000 0.5000  4 Tc 3.42, 4 K 3.46, 4 Se 3.46
Tc: 0.0000 0.0000 0.5000  8 K 3.42-3.46, 4 Se 3.46
Tc: 0.5000 0.5000 0.0000  8 K 3.42-3.46, 4 Se 3.46
Se: 0.0000 0.5000 0.7500  8 K 3.42-3.46, 4 Tc 3.46
Se: 0.5000 0.0000 0.2500  8 K 3.42-3.46, 4 Tc 3.46

An optimized crystal structure of Ho2TiGa3Ni4. Source: Alexandria, functional PBE-GGA.

Computed properties:
- SG: P-4m2, No. 115
- DFT formation energy: -539 meV per atom
- Uncorrected energy: -5.4646 eV/atom
- Density of states at the Fermi level: 0.862 states/eV per atom

abc: 3.9362 3.9362 10.5875
angles: 90.00 90.00 90.00
With the nearest neighbours (Å) after each atom.
Fractional positions:
Ho: 0.0000 0.5000 0.2449  8 Ni 3.02-3.25, 6 Ga 3.04-3.34, 2 Ti 3.34
Ho: 0.5000 0.0000 0.7551  8 Ni 3.02-3.25, 6 Ga 3.04-3.34, 2 Ti 3.34
Ti: 0.0000 0.0000 0.5000  4 Ni 2.49, 4 Ga 2.78
Ga: 0.0000 0.5000 0.8707  5 Ni 2.40
Ga: 0.5000 0.0000 0.1293  5 Ni 2.40
Ga: 0.5000 0.5000 0.5000  4 Ni 2.49, 4 Ti 2.78
Ni: 0.0000 0.0000 0.0000  4 Ga 2.40
Ni: 0.0000 0.5000 0.6444  3 Ga 2.40-2.49, 2 Ti 2.49
Ni: 0.5000 0.0000 0.3556  3 Ga 2.40-2.49, 2 Ti 2.49
Ni: 0.5000 0.5000 0.0000  4 Ga 2.40

An optimized crystal structure of Tb4In2Au. Source: Alexandria, functional PBE-GGA.

Computed properties:
- SG: R-3m, No. 166
- DFT formation energy: -399 meV per atom
- Uncorrected energy: -4.2955 eV/atom
- Density of states at the Fermi level: 0.963 states/eV per atom

abc: 9.0506 9.0506 9.0506
angles: 33.64 33.64 33.64
With the nearest neighbours (Å) after each atom.
Fractional positions:
Tb: 0.1235 0.1235 0.1235  4 In 3.14-3.17, 1 Au 3.16
Tb: 0.3746 0.3746 0.3746  3 Au 3.20, 4 In 3.24-3.28
Tb: 0.6254 0.6254 0.6254  3 Au 3.20, 4 In 3.24-3.28
Tb: 0.8765 0.8765 0.8765  4 In 3.14-3.17, 1 Au 3.16
In: 0.2464 0.2464 0.2464  8 Tb 3.14-3.28
In: 0.7536 0.7536 0.7536  8 Tb 3.14-3.28
Au: 0.0000 0.0000 0.0000  8 Tb 3.16-3.20

An optimized crystal structure of Ti3W. Source: Alexandria, functional PBE-GGA.

Computed properties:
- SG: Pm-3m, No. 221
- DFT formation energy: 158 meV per atom
- Uncorrected energy: -9.0011 eV/atom
- Density of states at the Fermi level: 2.006 states/eV per atom

abc: 4.0630 4.0630 4.0630
angles: 90.00 90.00 90.00
With the nearest neighbours (Å) after each atom.
Fractional positions:
Ti: 0.0000 0.0000 0.5000  4 W 2.87, 8 Ti 2.87
Ti: 0.0000 0.5000 0.0000  4 W 2.87, 8 Ti 2.87
Ti: 0.5000 0.0000 0.0000  4 W 2.87, 8 Ti 2.87
W: 0.5000 0.5000 0.5000  12 Ti 2.87

An optimized crystal structure of MgTaPt2. Source: Alexandria, functional PBE-GGA.

Computed properties:
- SG: F-43m, No. 216
- DFT formation energy: -321 meV per atom
- Uncorrected energy: -6.7029 eV/atom
- Density of states at the Fermi level: 1.115 states/eV per atom

abc: 6.3912 6.3912 6.3912
angles: 90.00 90.00 90.00
With the nearest neighbours (Å) after each atom.
Fractional positions:
Mg: 0.0000 0.0000 0.0000  4 Pt 2.77, 4 Ta 2.77
Mg: 0.0000 0.5000 0.5000  4 Pt 2.77, 4 Ta 2.77
Mg: 0.5000 0.0000 0.5000  4 Pt 2.77, 4 Ta 2.77
Mg: 0.5000 0.5000 0.0000  4 Pt 2.77, 4 Ta 2.77
Ta: 0.2500 0.2500 0.7500  4 Mg 2.77, 4 Pt 2.77
Ta: 0.2500 0.7500 0.2500  4 Mg 2.77, 4 Pt 2.77
Ta: 0.7500 0.2500 0.2500  4 Mg 2.77, 4 Pt 2.77
Ta: 0.7500 0.7500 0.7500  4 Mg 2.77, 4 Pt 2.77
Pt: 0.0000 0.0000 0.5000  4 Ta 2.77, 4 Pt 2.77
Pt: 0.0000 0.5000 0.0000  4 Ta 2.77, 4 Pt 2.77
Pt: 0.2500 0.2500 0.2500  4 Pt 2.77, 4 Mg 2.77
Pt: 0.2500 0.7500 0.7500  4 Mg 2.77, 4 Pt 2.77
Pt: 0.5000 0.0000 0.0000  4 Ta 2.77, 4 Pt 2.77
Pt: 0.5000 0.5000 0.5000  4 Ta 2.77, 4 Pt 2.77
Pt: 0.7500 0.2500 0.7500  4 Mg 2.77, 4 Pt 2.77
Pt: 0.7500 0.7500 0.2500  4 Pt 2.77, 4 Mg 2.77